Compound: SrMn3O
Source: Alexandria via LeMat-Bulk
Functional: PBE+U
Structure: relaxed

Geometry as CIF:
```
data_SrMn3O
_cell_length_a 5.1615
_cell_length_b 5.1615
_cell_length_c 5.1615
_cell_angle_alpha 90.00
_cell_angle_beta 90.00
_cell_angle_gamma 90.00
_symmetry_space_group_name_H-M 'P 1'
_symmetry_Int_Tables_number 1
loop_
_symmetry_equiv_pos_as_xyz
'x,y,z'
loop_
_atom_site_label
_atom_site_fract_x
_atom_site_fract_y
_atom_site_fract_z
Sr1 0.0000 0.0000 0.0000
Mn1 0.0000 0.5000 0.0000
Mn2 0.0000 0.0000 0.5000
Mn3 0.5000 0.0000 0.0000
O1 0.5000 0.5000 0.5000
```

Calculated values
For the density, the calculation gives 3.2 g/cm³. Its energy above the most stable polymorph in this dataset is 3910 meV per atom. The space group is No. 221.